1.
A plane-wave DFT calculation with PBE-GGA was carried out for La2Pr2Th3 after structural relaxation.

Cell: 3.5834 37.6336 3.5868 Å, 90.00 90.00 90.00°
Closest atoms and distances in Å follow each position.
Space group Cmmm (No. 65)
Unique sites:
La 0.0000 0.1346 0.0000 (multiplicity 4)  4 La 3.58-3.59, 4 Th 3.61, 4 Pr 3.79
Pr 0.0000 0.2906 0.5000 (multiplicity 4)  6 Pr 3.54-3.59, 4 La 3.79
Th 0.0000 0.0000 0.0000 (multiplicity 2)  12 Th 3.56-3.59
Th 0.0000 0.4337 0.5000 (multiplicity 4)  8 Th 3.56-3.59, 4 La 3.61



2.
A plane-wave DFT calculation with PBE-GGA was carried out for La4PrTh2 after structural relaxation.

Cell: 3.6904 3.6904 63.0534 Å, 90.00 90.00 120.00°
Closest atoms and distances in Å follow each position.
Space group R-3m (No. 166, hexagonal axes)
Unique sites:
La 0.0000 0.0000 0.0974 (multiplicity 6)  3 Th 3.63, 9 La 3.69-3.77
La 0.0000 0.0000 0.3813 (multiplicity 6)  9 La 3.69-3.77, 3 Pr 3.70
Pr 0.0000 0.0000 0.0000 (multiplicity 3)  6 Pr 3.69, 6 La 3.70
Th 0.0000 0.0000 0.1893 (multiplicity 6)  9 Th 3.56-3.69, 3 La 3.63



3.
A plane-wave DFT calculation with PBE-GGA was carried out for La5Pr2Th4 after structural relaxation.

Cell: 24.2648 3.4954 9.5563 Å, 90.00 95.45 90.00°
Closest atoms and distances in Å follow each position.
Space group C2/m (No. 12)
Unique sites:
La 0.0000 0.0000 0.0000 (multiplicity 2)  6 Th 3.26-3.57, 2 La 3.50
La 0.1235 0.5000 0.5370 (multiplicity 4)  4 Th 3.35-3.50, 1 Pr 3.49, 3 La 3.50-3.75
La 0.1526 0.5000 0.9296 (multiplicity 4)  2 Th 3.49, 3 La 3.50-3.75, 1 Pr 3.65
Pr 0.2396 0.0000 0.3115 (multiplicity 4)  1 Th 3.15, 1 La 3.49, 2 Pr 3.50
Th 0.0015 0.5000 0.6745 (multiplicity 4)  5 Th 3.33-3.50, 4 La 3.35-3.57
Th 0.1115 0.0000 0.2186 (multiplicity 4)  1 Pr 3.15, 5 La 3.26-3.50, 4 Th 3.49-3.50



4.
A plane-wave DFT calculation with PBE-GGA was carried out for La3Pr4Th after structural relaxation.

Cell: 26.0481 3.5422 6.3392 Å, 90.00 95.26 90.00°
Closest atoms and distances in Å follow each position.
Space group C2/m (No. 12)
Unique sites:
La 0.0000 0.0000 0.0000 (multiplicity 2)  2 Pr 3.36, 2 La 3.54, 4 Th 3.63
La 0.1436 0.0000 0.2490 (multiplicity 4)  3 Pr 3.30-3.48, 2 La 3.54
Pr 0.1053 0.0000 0.7316 (multiplicity 4)  3 La 3.30-3.36, 2 Th 3.47, 4 Pr 3.53-3.54
Pr 0.2225 0.5000 0.7387 (multiplicity 4)  1 La 3.48, 6 Pr 3.53-3.89
Th 0.0000 0.5000 0.5000 (multiplicity 2)  4 Pr 3.47, 2 Th 3.54, 4 La 3.63



5.
A plane-wave DFT calculation with PBE-GGA was carried out for LaPrTh after structural relaxation.

Cell: 3.6477 3.6477 15.7950 Å, 90.00 90.00 90.00°
Closest atoms and distances in Å follow each position.
Space group I4mm (No. 107)
Unique sites:
La 0.0000 0.0000 0.0000 (multiplicity 2)  4 Th 3.55, 4 La 3.65, 4 Pr 3.97
Pr 0.0000 0.0000 0.6907 (multiplicity 2)  4 Th 3.56, 4 Pr 3.65, 4 La 3.97
Th 0.0000 0.0000 0.3458 (multiplicity 2)  4 La 3.55, 4 Pr 3.56, 4 Th 3.65

Values from the calculation:
relative energy among the computed polymorphs = 2.4 meV per atom



6.
A plane-wave DFT calculation with PBE-GGA was carried out for La3Pr8Th after structural relaxation.

Cell: 6.6699 11.7840 11.8156 Å, 90.00 90.00 90.00°
Closest atoms and distances in Å follow each position.
Space group Immm (No. 71)
Unique sites:
La 0.0000 0.0000 0.0000 (multiplicity 2)  8 Pr 3.42-3.58
La 0.0000 0.2250 0.5000 (multiplicity 4)  10 Pr 3.88-4.26, 2 Th 4.26
Pr 0.0000 0.2535 0.1669 (multiplicity 8)  6 Pr 3.49-3.87, 1 Th 3.51, 3 La 3.58-3.88
Pr 0.2450 0.0000 0.2543 (multiplicity 8)  6 Pr 3.27-3.56, 1 Th 3.36, 1 La 3.42
Th 0.0000 0.5000 0.0000 (multiplicity 2)  8 Pr 3.36-3.51



7.
A plane-wave DFT calculation with PBE-GGA was carried out for LaPr3Th after structural relaxation.

Cell: 17.4752 3.5960 12.7511 Å, 90.00 116.65 90.00°
Closest atoms and distances in Å follow each position.
Space group C2/m (No. 12)
Unique sites:
La 0.1358 0.0000 0.2506 (multiplicity 4)  5 Pr 3.48-3.65, 2 La 3.60, 2 Th 3.65
Pr 0.0361 0.5000 0.6656 (multiplicity 4)  9 Pr 3.60-3.87, 2 Th 3.74
Pr 0.0807 0.0000 0.9478 (multiplicity 4)  3 Th 3.34-3.50, 2 La 3.48-3.54, 3 Pr 3.60-3.62
Pr 0.1720 0.0000 0.5488 (multiplicity 4)  3 La 3.56-3.65, 8 Pr 3.60-3.91, 1 Th 3.67
Th 0.2370 0.0000 0.8650 (multiplicity 4)  4 Pr 3.34-3.67, 4 Th 3.60-3.73, 2 La 3.65

Values from the calculation:
relative energy among the computed polymorphs = 0.0 meV per atom



8.
A plane-wave DFT calculation with PBE-GGA was carried out for LaPr4Th after structural relaxation.

Cell: 5.8426 7.1800 10.1277 Å, 90.00 90.00 90.00°
Closest atoms and distances in Å follow each position.
Space group Immm (No. 71)
Unique sites:
La 0.0000 0.0000 0.0000 (multiplicity 2)  2 Th 3.59, 12 Pr 3.82-3.83
Pr 0.0000 0.2493 0.3331 (multiplicity 8)  5 Pr 3.37-3.60
Th 0.0000 0.5000 0.0000 (multiplicity 2)  2 La 3.59, 12 Pr 3.82

Values from the calculation:
relative energy among the computed polymorphs = 29.2 meV per atom



9.
A plane-wave DFT calculation with PBE-GGA was carried out for La2Pr5Th2 after structural relaxation.

Cell: 6.3808 6.3817 8.2414 Å, 74.91 82.97 80.19°
Closest atoms and distances in Å follow each position.
Space group P-1 (No. 2)
Unique sites:
La 0.0533 0.2784 0.3916 (multiplicity 2)  2 La 3.65-3.67, 7 Pr 3.67-3.75, 3 Th 3.68-3.71
Pr 0.2758 0.3840 0.9476 (multiplicity 2)  6 Pr 3.59-3.74, 4 Th 3.63-3.74, 2 La 3.69
Pr 0.3866 0.9509 0.7319 (multiplicity 2)  6 Pr 3.59-3.85, 3 Th 3.59-3.68, 3 La 3.69-3.75
Pr 0.5000 0.5000 0.5000 (multiplicity 1)  4 La 3.67-3.68, 6 Pr 3.67-3.78, 2 Th 3.73
Th 0.1580 0.8382 0.1633 (multiplicity 2)  1 Th 3.55, 8 Pr 3.59-3.74, 3 La 3.68-3.71



10.
A plane-wave DFT calculation with PBE-GGA was carried out for La8Pr2Th3 after structural relaxation.

Cell: 10.1409 11.1912 8.9461 Å, 90.00 112.74 90.00°
Closest atoms and distances in Å follow each position.
Space group C2/m (No. 12)
Unique sites:
La 0.0889 0.0000 0.3447 (multiplicity 4)  2 Pr 3.50-3.73, 7 La 3.65-3.91, 1 Th 3.85
La 0.0981 0.5000 0.2193 (multiplicity 4)  1 Th 3.04
La 0.1621 0.2410 0.6807 (multiplicity 8)  3 Th 3.41-3.81, 3 La 3.51-3.65, 1 Pr 3.68
Pr 0.2303 0.0000 0.0446 (multiplicity 4)  6 La 3.43-3.73, 2 Th 3.50
Th 0.0000 0.2419 0.0000 (multiplicity 4)  6 La 3.42-3.81, 2 Pr 3.50
Th 0.0000 0.5000 0.5000 (multiplicity 2)  2 La 3.04



11.
A plane-wave DFT calculation with PBE-GGA was carried out for LaPrTh after structural relaxation.

Cell: 4.3258 4.3258 11.2955 Å, 90.00 90.00 90.00°
Closest atoms and distances in Å follow each position.
Space group P4/nmm (No. 129, origin choice 2)
Unique sites:
La 0.2500 0.2500 0.2277 (multiplicity 2)  5 Th 3.38-3.53, 4 Pr 3.68
Pr 0.2500 0.2500 0.5911 (multiplicity 2)  5 La 3.68-4.11, 4 Pr 3.69, 1 Th 3.81
Th 0.2500 0.2500 0.9282 (multiplicity 2)  5 La 3.38-3.53, 4 Th 3.46

Values from the calculation:
relative energy among the computed polymorphs = 87.2 meV per atom



12.
A plane-wave DFT calculation with PBE-GGA was carried out for La4PrTh after structural relaxation.

Cell: 11.7484 3.5308 11.7754 Å, 90.00 117.74 90.00°
Closest atoms and distances in Å follow each position.
Space group C2/m (No. 12)
Unique sites:
La 0.1554 0.0000 0.3445 (multiplicity 4)  7 La 3.53-3.77, 3 Th 3.58-3.59, 1 Pr 3.59
La 0.1626 0.5000 0.8365 (multiplicity 4)  1 Th 3.51, 3 Pr 3.51-3.73, 7 La 3.53-3.85
Pr 0.0000 0.0000 0.0000 (multiplicity 2)  8 La 3.51-3.73, 2 Pr 3.53
Th 0.0000 0.5000 0.5000 (multiplicity 2)  8 La 3.51-3.59, 2 Th 3.53



| no. | E_form (meV/atom) |
| --- | --- |
| 1 | 75 |
| 2 | 38 |
| 3 | 271 |
| 4 | 192 |
| 5 | 20 |
| 6 | 283 |
| 7 | 92 |
| 8 | 72 |
| 9 | 54 |
| 10 | 203 |
| 11 | 104 |
| 12 | 167 |